Density functional theory data (PBE+U) for a relaxed VHgCO5 crystal. Values from VASP.

```
&SYSTEM
  ibrav = 0, nat = 16, ntyp = 4
/
ATOMIC_SPECIES
V 50.94 V.upf
Hg 200.59 Hg.upf
C 12.01 C.upf
O 16.00 O.upf
ATOMIC_POSITIONS crystal
V 0.0000 0.0000 0.0000
V 0.0000 0.0000 0.5000
Hg 0.3406 0.6594 0.7500
Hg 0.6594 0.3406 0.2500
C 0.3128 0.6872 0.2500
C 0.6872 0.3128 0.7500
O 0.0755 0.9245 0.7500
O 0.1309 0.6944 0.3622
O 0.2481 0.4092 0.1073
O 0.3056 0.8691 0.1378
O 0.4092 0.2481 0.6073
O 0.5908 0.7519 0.3927
O 0.6944 0.1309 0.8622
O 0.7519 0.5908 0.8927
O 0.8691 0.3056 0.6378
O 0.9245 0.0755 0.2500
CELL_PARAMETERS angstrom
3.2830 -4.1217 0.0000
3.2830 4.1217 0.0000
-3.0668 0.0000 6.3625
```

Its space group is C2/c. Its energy is -6.34 eV/atom.